# Ba4LaTiNb3O15

A relaxed structure of Ba4LaTiNb3O15 (GGA-PBEsol, Alexandria via LeMat-Bulk).

Results
density of states at the Fermi level = 0.000 states/eV per atom
E_tot = -8.5278 eV per atom
energy relative to the elements, uncorrected = -2.967 eV/atom
total moment = 0.0 μB per cell

a b c (Å): 5.736 5.736 11.652
angles (deg): 90.00 90.00 120.00
Positions (direct):
1 Ba 0.333 0.667 0.576
2 Ba 0.000 0.000 0.426
3 Ba 0.667 0.333 0.998
4 Ba 0.333 0.667 0.207
5 La 0.000 0.000 0.784
6 Ti 0.333 0.667 0.895
7 Nb 0.667 0.333 0.317
8 Nb 0.667 0.333 0.691
9 Nb 0.000 0.000 0.098
10 O 0.000 0.500 0.392
11 O 0.500 0.000 0.392
12 O 0.500 0.500 0.392
13 O 0.321 0.161 0.622
14 O 0.839 0.679 0.622
15 O 0.839 0.161 0.622
16 O 0.005 0.502 0.806
17 O 0.498 0.995 0.806
18 O 0.498 0.502 0.806
19 O 0.331 0.166 0.192
20 O 0.834 0.669 0.192
21 O 0.834 0.166 0.192
22 O 0.165 0.330 0.992
23 O 0.165 0.835 0.992
24 O 0.670 0.835 0.992

# Y3HfAs

A relaxed structure of Y3HfAs (GGA-PBEsol, Alexandria via LeMat-Bulk).

Results
density of states at the Fermi level = 1.568 states/eV per atom
E_tot = -7.2228 eV per atom
total moment = 3.1 μB per cell
ΔH_f (0 K) = -0.01 eV per atom

a b c (Å): 5.319 5.319 5.319
angles (deg): 90.00 90.00 90.00
Positions (direct):
1 Y 0.000 0.500 0.000
2 Y 0.000 0.000 0.500
3 Y 0.500 0.000 0.000
4 As 0.000 0.000 0.000
5 Hf 0.500 0.500 0.500

# Tb5Si3

A relaxed structure of Tb5Si3 (GGA-PBEsol, Alexandria via LeMat-Bulk).

Results
density of states at the Fermi level = 0.788 states/eV per atom
E_tot = -5.9885 eV per atom
energy relative to the elements, uncorrected = -0.702 eV/atom
total moment = 0.0 μB per cell

a b c (Å): 6.300 8.400 8.400
angles (deg): 120.00 90.00 90.00
Positions (direct):
1 Si 0.750 0.000 0.395
2 Si 0.750 0.395 0.000
3 Si 0.750 0.605 0.605
4 Si 0.250 0.000 0.605
5 Si 0.250 0.605 0.000
6 Si 0.250 0.395 0.395
7 Tb 0.000 0.333 0.667
8 Tb 0.500 0.667 0.333
9 Tb 0.000 0.667 0.333
10 Tb 0.500 0.333 0.667
11 Tb 0.750 0.000 0.756
12 Tb 0.750 0.756 0.000
13 Tb 0.750 0.244 0.244
14 Tb 0.250 0.000 0.244
15 Tb 0.250 0.244 0.000
16 Tb 0.250 0.756 0.756

# RbAsAu3

A relaxed structure of RbAsAu3 (GGA-PBEsol, Alexandria via LeMat-Bulk).

Results
density of states at the Fermi level = 0.729 states/eV per atom
E_tot = -1.7586 eV per atom
distance to the lowest polymorph of the same formula = 1817 meV per atom
total moment = 0.6 μB per cell
ΔH_f (0 K) = 1.82 eV per atom

a b c (Å): 5.408 5.408 5.408
angles (deg): 90.00 90.00 90.00
Positions (direct):
1 As 0.500 0.500 0.500
2 Au 0.000 0.500 0.000
3 Au 0.000 0.000 0.500
4 Au 0.500 0.000 0.000
5 Rb 0.000 0.000 0.000

# Lu2SeO2

A relaxed structure of Lu2SeO2 (GGA-PBEsol, Alexandria via LeMat-Bulk).

Results
density of states at the Fermi level = 0.000 states/eV per atom
E_tot = -8.0386 eV per atom
energy relative to the elements, uncorrected = -3.220 eV/atom
total moment = 0.0 μB per cell

a b c (Å): 3.693 3.693 6.607
angles (deg): 90.00 90.00 120.00
Positions (direct):
1 Lu 0.333 0.667 0.708
2 Lu 0.667 0.333 0.292
3 Se 0.000 0.000 0.000
4 O 0.333 0.667 0.374
5 O 0.667 0.333 0.626

# MgNiBr

A relaxed structure of MgNiBr (GGA-PBEsol, Alexandria via LeMat-Bulk).

Results
density of states at the Fermi level = 0.458 states/eV per atom
E_tot = -3.2498 eV per atom
energy relative to the elements, uncorrected = -0.002 eV/atom
total moment = 0.0 μB per cell

a b c (Å): 3.373 4.164 4.164
angles (deg): 120.00 90.00 90.00
Positions (direct):
1 Br 0.500 0.000 0.000
2 Mg 0.000 0.333 0.667
3 Ni 0.500 0.667 0.333

Q: Among the records above, which one has the highest density of states at the Fermi level?
A: Y3HfAs

Copy entry 3 word for word.
# Tb5Si3

A relaxed structure of Tb5Si3 (GGA-PBEsol, Alexandria via LeMat-Bulk).

Results
density of states at the Fermi level = 0.788 states/eV per atom
E_tot = -5.9885 eV per atom
energy relative to the elements, uncorrected = -0.702 eV/atom
total moment = 0.0 μB per cell

a b c (Å): 6.300 8.400 8.400
angles (deg): 120.00 90.00 90.00
Positions (direct):
1 Si 0.750 0.000 0.395
2 Si 0.750 0.395 0.000
3 Si 0.750 0.605 0.605
4 Si 0.250 0.000 0.605
5 Si 0.250 0.605 0.000
6 Si 0.250 0.395 0.395
7 Tb 0.000 0.333 0.667
8 Tb 0.500 0.667 0.333
9 Tb 0.000 0.667 0.333
10 Tb 0.500 0.333 0.667
11 Tb 0.750 0.000 0.756
12 Tb 0.750 0.756 0.000
13 Tb 0.750 0.244 0.244
14 Tb 0.250 0.000 0.244
15 Tb 0.250 0.244 0.000
16 Tb 0.250 0.756 0.756

Q: Which formula does entry 6 have?
A: MgNiBr